Entry 1:
An optimized crystal structure of Sm3TePb. Source: Alexandria via LeMat-Bulk, functional PBE-GGA.

```
data_Sm3TePb
_cell_length_a 8.668
_cell_length_b 4.424
_cell_length_c 8.980
_cell_angle_alpha 90.00
_cell_angle_beta 96.01
_cell_angle_gamma 90.00
_symmetry_space_group_name_H-M 'P 1 21/m 1'
_symmetry_Int_Tables_number 11
loop_
_symmetry_equiv_pos_as_xyz
'x,y,z'
'-x,-y,-z'
'-x,y+1/2,-z'
'x,-y+1/2,z'
loop_
_atom_site_label
_atom_site_fract_x
_atom_site_fract_y
_atom_site_fract_z
Sm1 0.105 0.250 0.322
Sm2 0.334 0.250 0.980
Sm3 0.393 0.750 0.625
Te1 0.145 0.250 0.667
Pb1 0.358 0.750 0.244
```

- ΔE_f (raw) (meV per atom) = -738.4
- D(E_F) (states/eV/atom) = 0.99


Entry 2:
An optimized crystal structure of Sr2SbOs. Source: Alexandria via LeMat-Bulk, functional PBE-GGA.

```
data_Sr2SbOs
_cell_length_a 4.808
_cell_length_b 4.808
_cell_length_c 9.042
_cell_angle_alpha 90.00
_cell_angle_beta 90.00
_cell_angle_gamma 90.00
_symmetry_space_group_name_H-M 'I 4/m m m'
_symmetry_Int_Tables_number 139
_symmetry_space_group_name_Hall '-I 4 2'
loop_
_atom_site_label
_atom_site_fract_x
_atom_site_fract_y
_atom_site_fract_z
Sr1 0.000 0.500 0.250
Sb1 0.000 0.000 0.000
Os1 0.000 0.000 0.500
```

- ΔE_f (raw) (meV per atom) = 251.9
- D(E_F) (states/eV/atom) = 1.07


Entry 3:
An optimized crystal structure of BaCaBiI. Source: Alexandria via LeMat-Bulk, functional PBE-GGA.

```
data_BaCaBiI
_cell_length_a 5.2822
_cell_length_b 5.2822
_cell_length_c 46.2846
_cell_angle_alpha 90.00
_cell_angle_beta 90.00
_cell_angle_gamma 120.00
_symmetry_space_group_name_H-M 'R -3 m'
_symmetry_Int_Tables_number 166
_symmetry_space_group_name_Hall '-R 3 2"'
loop_
_atom_site_label
_atom_site_fract_x
_atom_site_fract_y
_atom_site_fract_z
Ba1 0.0000 0.0000 0.0937
Ca1 0.0000 0.0000 0.3082
Bi1 0.0000 0.0000 0.3800
I1 0.0000 0.0000 0.2035
```

- ΔE_f (raw) (meV per atom) = -1228.5
- D(E_F) (states/eV/atom) = 0.00


Entry 4:
An optimized crystal structure of Zr2Ti2Sn. Source: Alexandria via LeMat-Bulk, functional PBE-GGA.

```
data_Zr2Ti2Sn
_cell_length_a 7.254
_cell_length_b 7.254
_cell_length_c 3.914
_cell_angle_alpha 90.00
_cell_angle_beta 90.00
_cell_angle_gamma 90.00
_symmetry_space_group_name_H-M 'P 4/m b m'
_symmetry_Int_Tables_number 127
_symmetry_space_group_name_Hall '-P 4 2ab'
loop_
_atom_site_label
_atom_site_fract_x
_atom_site_fract_y
_atom_site_fract_z
Zr1 0.170 0.330 0.000
Ti1 0.129 0.629 0.500
Sn1 0.000 0.000 0.500
```

- D(E_F) (states/eV/atom) = 1.04
- ΔH_f (0 K) (eV/atom) = -0.1679


Entry 5:
An optimized crystal structure of AgHPd3. Source: Alexandria via LeMat-Bulk, functional PBE-GGA.

```
data_AgHPd3
_cell_length_a 12.689
_cell_length_b 8.272
_cell_length_c 5.534
_cell_angle_alpha 90.00
_cell_angle_beta 102.44
_cell_angle_gamma 90.00
_symmetry_space_group_name_H-M 'C 1 2/c 1'
_symmetry_Int_Tables_number 15
loop_
_symmetry_equiv_pos_as_xyz
'x,y,z'
'-x,-y,-z'
'-x,y,-z+1/2'
'x,-y,z+1/2'
'x+1/2,y+1/2,z'
'-x+1/2,-y+1/2,-z'
'-x+1/2,y+1/2,-z+1/2'
'x+1/2,-y+1/2,z+1/2'
loop_
_atom_site_label
_atom_site_fract_x
_atom_site_fract_y
_atom_site_fract_z
Ag1 0.000 0.005 0.250
Ag2 0.000 0.346 0.750
H1 0.151 0.335 0.328
Pd1 0.165 0.169 0.583
Pd2 0.165 0.171 0.084
Pd3 0.169 0.500 0.083
```

- relative energy among the computed polymorphs (eV/f.u.) = 0.531
- D(E_F) (states/eV/atom) = 0.56


Entry 6:
An optimized crystal structure of PuU2Os. Source: Alexandria via LeMat-Bulk, functional PBE-GGA.

```
data_PuU2Os
_cell_length_a 3.3801
_cell_length_b 3.3801
_cell_length_c 22.5493
_cell_angle_alpha 90.00
_cell_angle_beta 90.00
_cell_angle_gamma 120.00
_symmetry_space_group_name_H-M 'R -3 m'
_symmetry_Int_Tables_number 166
_symmetry_space_group_name_Hall '-R 3 2"'
loop_
_atom_site_label
_atom_site_fract_x
_atom_site_fract_y
_atom_site_fract_z
Pu1 0.0000 0.0000 0.0000
U1 0.0000 0.0000 0.2578
Os1 0.0000 0.0000 0.5000
```

- relative energy among the computed polymorphs (eV/f.u.) = 0.818
- D(E_F) (states/eV/atom) = 1.82
- ΔH_f (0 K) (eV/atom) = 0.2629


Entry 7:
An optimized crystal structure of BaCa2LaAg4. Source: Alexandria via LeMat-Bulk, functional PBE-GGA.

```
data_BaCa2LaAg4
_cell_length_a 5.4096
_cell_length_b 5.4096
_cell_length_c 27.1488
_cell_angle_alpha 90.00
_cell_angle_beta 90.00
_cell_angle_gamma 120.00
_symmetry_space_group_name_H-M 'R -3 m'
_symmetry_Int_Tables_number 166
_symmetry_space_group_name_Hall '-R 3 2"'
loop_
_atom_site_label
_atom_site_fract_x
_atom_site_fract_y
_atom_site_fract_z
Ba1 0.0000 0.0000 0.0000
Ca1 0.0000 0.0000 0.2477
La1 0.0000 0.0000 0.5000
Ag1 0.0000 0.0000 0.1292
Ag2 0.0000 0.0000 0.3836
```

- D(E_F) (states/eV/atom) = 0.63
- ΔH_f (0 K) (eV/atom) = -0.2760


Entry 8:
An optimized crystal structure of ZnAg9Au2. Source: Alexandria via LeMat-Bulk, functional PBE-GGA.

```
data_ZnAg9Au2
_cell_length_a 4.119
_cell_length_b 4.119
_cell_length_c 12.474
_cell_angle_alpha 90.00
_cell_angle_beta 90.00
_cell_angle_gamma 90.00
_symmetry_space_group_name_H-M 'P 4/m m m'
_symmetry_Int_Tables_number 123
_symmetry_space_group_name_Hall '-P 4 2'
loop_
_atom_site_label
_atom_site_fract_x
_atom_site_fract_y
_atom_site_fract_z
Zn1 0.000 0.000 0.000
Ag1 0.000 0.500 0.162
Ag2 0.000 0.500 0.500
Ag3 0.500 0.500 0.000
Ag4 0.500 0.500 0.331
Au1 0.000 0.000 0.332
```

- D(E_F) (states/eV/atom) = 0.16
- ΔH_f (0 K) (eV/atom) = -0.0227


Entry 9:
An optimized crystal structure of ZrSnAu. Source: Alexandria via LeMat-Bulk, functional PBE-GGA.

```
data_ZrSnAu
_cell_length_a 3.313
_cell_length_b 3.313
_cell_length_c 11.776
_cell_angle_alpha 90.00
_cell_angle_beta 90.00
_cell_angle_gamma 90.00
_symmetry_space_group_name_H-M 'I 4 m m'
_symmetry_Int_Tables_number 107
_symmetry_space_group_name_Hall 'I 4 -2'
loop_
_atom_site_label
_atom_site_fract_x
_atom_site_fract_y
_atom_site_fract_z
Zr1 0.000 0.000 0.000
Sn1 0.000 0.000 0.683
Au1 0.000 0.000 0.351
```

- D(E_F) (states/eV/atom) = 0.65
- ΔH_f (0 K) (eV/atom) = -0.3461


Entry 10:
An optimized crystal structure of SbCI3. Source: Alexandria via LeMat-Bulk, functional PBE-GGA.

```
data_SbCI3
_cell_length_a 6.006
_cell_length_b 6.006
_cell_length_c 6.006
_cell_angle_alpha 90.00
_cell_angle_beta 90.00
_cell_angle_gamma 90.00
_symmetry_space_group_name_H-M 'P m -3 m'
_symmetry_Int_Tables_number 221
_symmetry_space_group_name_Hall '-P 4 2 3'
loop_
_atom_site_label
_atom_site_fract_x
_atom_site_fract_y
_atom_site_fract_z
Sb1 0.000 0.000 0.000
C1 0.500 0.500 0.500
I1 0.000 0.000 0.500
```

- ΔE_f (raw) (meV per atom) = 1405.4
- relative energy among the computed polymorphs (eV/f.u.) = 1.272
- D(E_F) (states/eV/atom) = 4.11


Entry 11:
An optimized crystal structure of TlH2Br2. Source: Alexandria via LeMat-Bulk, functional PBE-GGA.

```
data_TlH2Br2
_cell_length_a 4.386
_cell_length_b 5.546
_cell_length_c 11.079
_cell_angle_alpha 90.00
_cell_angle_beta 101.28
_cell_angle_gamma 90.00
_symmetry_space_group_name_H-M 'P 1 21/m 1'
_symmetry_Int_Tables_number 11
loop_
_symmetry_equiv_pos_as_xyz
'x,y,z'
'-x,-y,-z'
'-x,y+1/2,-z'
'x,-y+1/2,z'
loop_
_atom_site_label
_atom_site_fract_x
_atom_site_fract_y
_atom_site_fract_z
Tl1 0.171 0.250 0.340
H1 0.049 0.250 0.920
H2 0.120 0.750 0.077
Br1 0.204 0.750 0.406
Br2 0.413 0.750 0.829
```

- D(E_F) (states/eV/atom) = 0.46


Entry 12:
An optimized crystal structure of ErZrBeCu. Source: Alexandria via LeMat-Bulk, functional PBE-GGA.

```
data_ErZrBeCu
_cell_length_a 6.642
_cell_length_b 6.642
_cell_length_c 6.642
_cell_angle_alpha 90.00
_cell_angle_beta 90.00
_cell_angle_gamma 90.00
_symmetry_space_group_name_H-M 'F -4 3 m'
_symmetry_Int_Tables_number 216
_symmetry_space_group_name_Hall 'F -4 2 3'
loop_
_atom_site_label
_atom_site_fract_x
_atom_site_fract_y
_atom_site_fract_z
Er1 0.000 0.000 0.000
Zr1 0.000 0.000 0.500
Be1 0.250 0.250 0.750
Cu1 0.250 0.250 0.250
```

- D(E_F) (states/eV/atom) = 0.92
- ΔH_f (0 K) (eV/atom) = -0.0075


Result set for uncorrected energy: -4.9399 -4.4270 -3.5674 -7.5457 -4.3225 -11.7716 -3.0582 -2.8135 -5.6222 -2.1939 -2.8048 -5.2409 eV per atom, one per record in the order listed.
Result set for theoretical density: 7.6 7.7 4.6 6.4 10.0 20.3 5.7 11.2 10.5 3.9 4.6 7.5 g/cm³, one per record in the order listed.